(1)
This record from Alexandria describes crystalline Al2SbPt at its relaxed geometry. The functional is GGA-PBE.

Computed properties:
As for the space group: Imm2 (44). The value obtained for the density of states at the Fermi level is 0.37 states/eV per atom. As for the raw formation energy: -0.33 eV per atom. Its total magnetization is 0.000 μB/atom.

a b c (Å): 6.632 6.632 6.632
angles (deg): 151.44 145.05 45.73
Atoms (fractional coordinates):
Al  0.000  0.000  0.000
Al  0.681  0.181  0.500
Sb  0.368  0.368  0.000
Pt  0.160  0.660  0.500

***

(2)
This record from Alexandria describes crystalline AlSb3Pt at its relaxed geometry. The functional is GGA-PBE.

Computed properties:
Its energy above the most stable polymorph in this dataset is 0.308 eV per atom. As for the space group: Pm-3m (221). The value obtained for the density of states at the Fermi level is 0.39 states/eV per atom. As for the raw formation energy: 0.83 eV per atom. Its total magnetization is 0.000 μB/atom.

a b c (Å): 5.114 5.114 5.114
angles (deg): 90.00 90.00 90.00
Atoms (fractional coordinates):
Al  0.000  0.000  0.000
Sb  0.000  0.000  0.500
Sb  0.000  0.500  0.000
Sb  0.500  0.000  0.000
Pt  0.500  0.500  0.500

***

(3)
This record from Alexandria describes crystalline AlSbPt at its relaxed geometry. The functional is GGA-PBE.

Computed properties:
As for the space group: P2_1 (4). The value obtained for the density of states at the Fermi level is 0.39 states/eV per atom. As for the raw formation energy: -0.48 eV per atom. Its total magnetization is 0.000 μB/atom.

a b c (Å): 6.449 6.493 6.668
angles (deg): 90.00 115.79 90.00
Atoms (fractional coordinates):
Al  0.137  0.000  0.157
Al  0.358  0.495  0.441
Al  0.642  0.995  0.559
Al  0.863  0.500  0.843
Sb  0.158  0.764  0.635
Sb  0.319  0.262  0.952
Sb  0.681  0.762  0.048
Sb  0.842  0.264  0.365
Pt  0.268  0.658  0.065
Pt  0.282  0.149  0.550
Pt  0.718  0.649  0.450
Pt  0.732  0.158  0.935

***

(4)
This record from Alexandria describes crystalline Al2SbPt at its relaxed geometry. The functional is GGA-PBE.

Computed properties:
As for the space group: R3m (160). The value obtained for the density of states at the Fermi level is 0.39 states/eV per atom. As for the raw formation energy: -0.16 eV per atom. Its total magnetization is 0.000 μB/atom.

a b c (Å): 8.207 8.207 8.207
angles (deg): 23.83 23.83 23.83
Atoms (fractional coordinates):
Al  0.000  0.000  0.000
Al  0.245  0.245  0.245
Sb  0.761  0.761  0.761
Pt  0.513  0.513  0.513

***

(5)
This record from Alexandria describes crystalline Al2SbPt2 at its relaxed geometry. The functional is GGA-PBE.

Computed properties:
Its energy above the most stable polymorph in this dataset is 0.000 eV per atom. As for the space group: I4/mmm (139). The value obtained for the density of states at the Fermi level is 0.42 states/eV per atom. As for the raw formation energy: -0.69 eV per atom. Its total magnetization is 0.000 μB/atom.

a b c (Å): 6.608 6.608 6.608
angles (deg): 145.71 145.71 49.28
Atoms (fractional coordinates):
Al  0.250  0.750  0.500
Al  0.750  0.250  0.500
Sb  0.000  0.000  0.000
Pt  0.381  0.381  0.000
Pt  0.619  0.619  0.000

***

(6)
This record from Alexandria describes crystalline Al2SbPt at its relaxed geometry. The functional is GGA-PBE.

Computed properties:
As for the space group: P4/mmm (123). The value obtained for the density of states at the Fermi level is 0.42 states/eV per atom. As for the raw formation energy: -0.09 eV per atom. Its total magnetization is 0.000 μB/atom.

a b c (Å): 4.384 4.384 3.807
angles (deg): 90.00 90.00 90.00
Atoms (fractional coordinates):
Al  0.000  0.500  0.000
Al  0.500  0.000  0.000
Sb  0.000  0.000  0.500
Pt  0.500  0.500  0.500

***

(7)
This record from Alexandria describes crystalline AlSb3Pt12 at its relaxed geometry. The functional is GGA-PBE.

Computed properties:
As for the space group: P2/m (10). The value obtained for the density of states at the Fermi level is 0.74 states/eV per atom. As for the raw formation energy: -0.29 eV per atom. Its total magnetization is 0.000 μB/atom.

a b c (Å): 4.034 4.034 16.310
angles (deg): 90.00 90.03 90.00
Atoms (fractional coordinates):
Al  0.000  0.000  0.000
Sb  0.000  0.000  0.500
Sb  0.001  0.000  0.242
Sb  0.999  0.000  0.758
Pt  0.000  0.500  0.116
Pt  0.000  0.500  0.884
Pt  0.001  0.500  0.372
Pt  0.499  0.000  0.628
Pt  0.499  0.500  0.755
Pt  0.500  0.000  0.116
Pt  0.500  0.000  0.884
Pt  0.500  0.500  0.000
Pt  0.500  0.500  0.500
Pt  0.501  0.000  0.372
Pt  0.501  0.500  0.245
Pt  0.999  0.500  0.628

***

(8)
This record from Alexandria describes crystalline Al2SbPt at its relaxed geometry. The functional is GGA-PBE.

Computed properties:
As for the space group: Cmmm (65). The value obtained for the density of states at the Fermi level is 0.31 states/eV per atom. As for the raw formation energy: -0.11 eV per atom. Its total magnetization is 0.000 μB/atom.

a b c (Å): 4.728 4.728 3.422
angles (deg): 90.00 90.00 107.63
Atoms (fractional coordinates):
Al  0.000  0.500  0.000
Al  0.500  0.000  0.000
Sb  0.000  0.000  0.500
Pt  0.500  0.500  0.500

***

(9)
This record from Alexandria describes crystalline AlSbPt at its relaxed geometry. The functional is GGA-PBE.

Computed properties:
As for the space group: I4mm (107). The value obtained for the density of states at the Fermi level is 0.36 states/eV per atom. As for the raw formation energy: -0.30 eV per atom. Its total magnetization is 0.000 μB/atom.

a b c (Å): 6.463 6.463 6.463
angles (deg): 152.08 152.08 39.90
Atoms (fractional coordinates):
Al  0.000  0.000  0.000
Sb  0.288  0.288  0.000
Pt  0.608  0.608  0.000

***

(10)
This record from Alexandria describes crystalline AlSb3Pt at its relaxed geometry. The functional is GGA-PBE.

Computed properties:
Its energy above the most stable polymorph in this dataset is 0.000 eV per atom. As for the space group: Pm-3m (221). The value obtained for the density of states at the Fermi level is 1.05 states/eV per atom. As for the raw formation energy: 0.52 eV per atom. Its total magnetization is 0.000 μB/atom.

a b c (Å): 5.291 5.291 5.291
angles (deg): 90.00 90.00 90.00
Atoms (fractional coordinates):
Al  0.000  0.000  0.000
Sb  0.000  0.500  0.500
Sb  0.500  0.000  0.500
Sb  0.500  0.500  0.000
Pt  0.500  0.500  0.500

***

(11)
This record from Alexandria describes crystalline Al2Sb2Pt at its relaxed geometry. The functional is GGA-PBE.

Computed properties:
Its energy above the most stable polymorph in this dataset is 0.519 eV per atom. As for the space group: I4/mmm (139). The value obtained for the density of states at the Fermi level is 0.54 states/eV per atom. As for the raw formation energy: 0.46 eV per atom. Its total magnetization is 0.000 μB/atom.

a b c (Å): 7.802 7.802 7.802
angles (deg): 150.28 150.28 42.54
Atoms (fractional coordinates):
Al  0.086  0.086  0.000
Al  0.914  0.914  0.000
Sb  0.250  0.750  0.500
Sb  0.750  0.250  0.500
Pt  0.500  0.500  0.000

***

(12)
This record from Alexandria describes crystalline Al3SbPt at its relaxed geometry. The functional is GGA-PBE.

Computed properties:
Its energy above the most stable polymorph in this dataset is 0.000 eV per atom. As for the space group: Pm-3m (221). The value obtained for the density of states at the Fermi level is 0.62 states/eV per atom. As for the raw formation energy: -0.17 eV per atom. Its total magnetization is 0.000 μB/atom.

a b c (Å): 4.817 4.817 4.817
angles (deg): 90.00 90.00 90.00
Atoms (fractional coordinates):
Al  0.000  0.000  0.500
Al  0.000  0.500  0.000
Al  0.500  0.000  0.000
Sb  0.500  0.500  0.500
Pt  0.000  0.000  0.000

***

(13)
This record from Alexandria describes crystalline Al2SbPt at its relaxed geometry. The functional is GGA-PBE.

Computed properties:
As for the space group: Amm2 (38). The value obtained for the density of states at the Fermi level is 0.24 states/eV per atom. As for the raw formation energy: -0.37 eV per atom. Its total magnetization is 0.000 μB/atom.

a b c (Å): 4.506 4.852 4.852
angles (deg): 53.56 90.00 90.00
Atoms (fractional coordinates):
Al  0.000  0.000  0.000
Al  0.500  0.206  0.206
Sb  0.000  0.683  0.683
Pt  0.500  0.870  0.870

***

(14)
This record from Alexandria describes crystalline AlSbPt at its relaxed geometry. The functional is GGA-PBE.

Computed properties:
As for the space group: P3m1 (156). The value obtained for the density of states at the Fermi level is 0.61 states/eV per atom. As for the raw formation energy: -0.31 eV per atom. Its total magnetization is 0.000 μB/atom.

a b c (Å): 4.122 4.122 4.293
angles (deg): 90.00 90.00 120.00
Atoms (fractional coordinates):
Al  0.000  0.000  0.000
Sb  0.333  0.667  0.523
Pt  0.667  0.333  0.175

***

(15)
This record from Alexandria describes crystalline Al2SbPt at its relaxed geometry. The functional is GGA-PBE.

Computed properties:
As for the space group: C2/m (12). The value obtained for the density of states at the Fermi level is 0.37 states/eV per atom. As for the raw formation energy: -0.32 eV per atom. Its total magnetization is 0.000 μB/atom.

a b c (Å): 4.367 4.367 5.871
angles (deg): 102.54 102.54 45.75
Atoms (fractional coordinates):
Al  0.234  0.234  0.181
Al  0.766  0.766  0.819
Sb  0.000  0.000  0.500
Pt  0.500  0.500  0.000

***

(16)
This record from Alexandria describes crystalline Al2SbPt at its relaxed geometry. The functional is GGA-PBE.

Computed properties:
As for the space group: I-42d (122). The value obtained for the density of states at the Fermi level is 0.62 states/eV per atom. As for the raw formation energy: -0.16 eV per atom. Its total magnetization is 0.000 μB/atom.

a b c (Å): 7.243 7.243 7.243
angles (deg): 131.70 131.70 70.70
Atoms (fractional coordinates):
Al  0.082  0.625  0.957
Al  0.375  0.332  0.457
Al  0.668  0.125  0.043
Al  0.875  0.918  0.543
Sb  0.250  0.750  0.500
Sb  0.500  0.500  0.000
Pt  0.000  0.000  0.000
Pt  0.750  0.250  0.500

***

(17)
This record from Alexandria describes crystalline AlSb4Pt at its relaxed geometry. The functional is GGA-PBE.

Computed properties:
As for the space group: F-43m (216). The value obtained for the density of states at the Fermi level is 0.75 states/eV per atom. As for the raw formation energy: 0.66 eV per atom. Its total magnetization is 0.000 μB/atom.

a b c (Å): 6.083 6.083 6.083
angles (deg): 60.00 60.00 60.00
Atoms (fractional coordinates):
Al  0.000  0.000  0.000
Sb  0.375  0.375  0.375
Sb  0.375  0.375  0.876
Sb  0.375  0.876  0.375
Sb  0.876  0.375  0.375
Pt  0.750  0.750  0.750

***

(18)
This record from Alexandria describes crystalline AlSbPt4 at its relaxed geometry. The functional is GGA-PBE.

Computed properties:
As for the space group: F-43m (216). The value obtained for the density of states at the Fermi level is 0.23 states/eV per atom. As for the raw formation energy: -0.13 eV per atom. Its total magnetization is 0.000 μB/atom.

a b c (Å): 5.339 5.339 5.339
angles (deg): 60.00 60.00 60.00
Atoms (fractional coordinates):
Al  0.000  0.000  0.000
Sb  0.250  0.250  0.250
Pt  0.124  0.625  0.625
Pt  0.625  0.124  0.625
Pt  0.625  0.625  0.124
Pt  0.625  0.625  0.625

***

(19)
This record from Alexandria describes crystalline Al2SbPt at its relaxed geometry. The functional is GGA-PBE.

Computed properties:
As for the space group: R-3m (166). The value obtained for the density of states at the Fermi level is 0.51 states/eV per atom. As for the raw formation energy: -0.31 eV per atom. Its total magnetization is 0.000 μB/atom.

a b c (Å): 8.153 8.153 8.153
angles (deg): 23.96 23.96 23.96
Atoms (fractional coordinates):
Al  0.234  0.234  0.234
Al  0.766  0.766  0.766
Sb  0.000  0.000  0.000
Pt  0.500  0.500  0.500

***

(20)
This record from Alexandria describes crystalline Al2SbPt2 at its relaxed geometry. The functional is GGA-PBE.

Computed properties:
Its energy above the most stable polymorph in this dataset is 0.010 eV per atom. As for the space group: P4/mbm (127). The value obtained for the density of states at the Fermi level is 0.42 states/eV per atom. As for the raw formation energy: -0.68 eV per atom. Its total magnetization is 0.000 μB/atom.

a b c (Å): 7.694 7.694 2.883
angles (deg): 90.00 90.00 90.00
Atoms (fractional coordinates):
Al  0.145  0.355  0.000
Al  0.355  0.855  0.000
Al  0.645  0.145  0.000
Al  0.855  0.645  0.000
Sb  0.000  0.000  0.500
Sb  0.500  0.500  0.500
Pt  0.147  0.647  0.500
Pt  0.353  0.147  0.500
Pt  0.647  0.853  0.500
Pt  0.853  0.353  0.500